No. 1
K2MgTcPt, optimized geometry, DFT PBE; Fermi-level density of states = 3.505 states/eV/cell; calculated formation energy = 80.23 kJ/mol of atoms; crystal system = tetragonal; spin magnetization = 2.9 μB/f.u.; space-group type = No. 123
1.0
6.213 0.000 0.000
0.000 4.880 0.000
0.000 0.000 6.213
K Tc Pt Mg
2 1 1 1
Direct
0.000 0.000 0.500
0.500 0.000 0.000
0.000 0.500 0.000
0.000 0.000 0.000
0.500 0.500 0.500

=====

No. 2
PdWSN2, optimized geometry, DFT PBE; Fermi-level density of states = 3.760 states/eV/cell; crystal system = tetragonal; spin magnetization = 0.7 μB/f.u.; distance to the lowest polymorph of the same formula = 0 meV per atom; space-group type = No. 123; formation energy from raw total energies = 0.47 eV per atom
1.0
3.863 0.000 0.000
0.000 3.863 0.000
0.000 0.000 5.072
Pd W N S
1 1 2 1
Direct
0.500 0.500 0.500
0.000 0.000 0.000
0.500 0.000 0.000
0.000 0.500 0.000
0.000 0.000 0.500

=====

No. 3
YInI2O, optimized geometry, DFT PBE; crystal system = tetragonal; spin magnetization = 0.0 μB/f.u.; distance to the lowest polymorph of the same formula = 0 meV per atom; space-group type = No. 123; formation energy from raw total energies = -1.36 eV per atom
1.0
5.938 0.000 0.000
0.000 5.938 0.000
0.000 0.000 4.330
O I In Y
1 2 1 1
Direct
0.000 0.000 0.500
0.500 0.000 0.000
0.000 0.500 0.000
0.500 0.500 0.500
0.000 0.000 0.000

=====

No. 4
TlMoRu2, optimized geometry, DFT PBE; Fermi-level density of states = 3.675 states/eV/cell; calculated formation energy = 43.49 kJ/mol of atoms; crystal system = monoclinic; spin magnetization = 0.0 μB/f.u.; distance to the lowest polymorph of the same formula = 148 meV per atom; space-group type = No. 12
1.0
-4.727 -0.213 0.878
-4.045 -2.476 -0.815
-0.091 -3.078 4.078
Mo Ru Tl
1 2 1
Direct
0.250 0.250 0.250
0.512 0.512 0.457
0.988 0.988 0.043
0.750 0.750 0.750

=====

No. 5
Tm5Tl2Au, optimized geometry, DFT PBE; Fermi-level density of states = 15.571 states/eV/cell; calculated formation energy = -38.70 kJ/mol of atoms; crystal system = orthorhombic; spin magnetization = 0.0 μB/f.u.; space-group type = No. 55
1.0
4.866 0.000 0.000
0.000 6.919 0.000
0.000 0.000 12.718
Tl Tm Au
4 10 2
Direct
0.500 0.114 0.344
0.500 0.886 0.656
0.500 0.386 0.844
0.500 0.614 0.156
0.500 0.674 0.407
0.000 0.873 0.221
0.000 0.000 0.500
0.500 0.174 0.093
0.500 0.826 0.907
0.500 0.326 0.593
0.000 0.500 0.000
0.000 0.127 0.779
0.000 0.373 0.279
0.000 0.627 0.721
0.000 0.000 0.000
0.000 0.500 0.500

=====

No. 6
ReSbRu2, optimized geometry, DFT PBE; Fermi-level density of states = 4.458 states/eV/cell; crystal system = trigonal; spin magnetization = 0.0 μB/f.u.; space-group type = No. 160; formation energy from raw total energies = 0.46 eV per atom
1.0
-3.787 5.684 5.599
-5.567 3.391 5.958
-3.072 3.558 7.476
Ru Sb Re
2 1 1
Direct
0.001 0.001 0.001
0.251 0.251 0.251
0.502 0.502 0.502
0.746 0.746 0.746

=====

No. 7
CdCo3P, optimized geometry, DFT PBE; Fermi-level density of states = 16.875 states/eV/cell; calculated formation energy = 181.78 kJ/mol of atoms; crystal system = cubic; spin magnetization = 5.7 μB/f.u.; distance to the lowest polymorph of the same formula = 1767 meV per atom; space-group type = No. 221
1.0
-0.317 -0.360 -4.639
-0.779 -4.580 0.408
-4.587 0.802 0.251
Co P Cd
3 1 1
Direct
0.000 0.500 0.000
0.500 0.000 0.000
0.000 0.000 0.500
0.500 0.500 0.500
0.000 0.000 0.000

=====

No. 8
Ce2ZnI, optimized geometry, DFT PBE; Fermi-level density of states = 14.139 states/eV/cell; crystal system = trigonal; spin magnetization = 2.4 μB/f.u.; distance to the lowest polymorph of the same formula = 30 meV per atom; space-group type = No. 166; formation energy from raw total energies = -0.37 eV per atom
1.0
-3.506 -2.520 -0.790
-2.152 -1.874 3.335
-6.182 4.356 1.348
Ce I Zn
2 1 1
Direct
0.742 0.742 0.775
0.258 0.258 0.225
0.500 0.500 0.500
0.000 0.000 0.000

=====

No. 9
LaDy12Er6, optimized geometry, DFT PBE; Fermi-level density of states = 33.730 states/eV/cell; calculated formation energy = 14.97 kJ/mol of atoms; crystal system = trigonal; spin magnetization = 0.0 μB/f.u.; distance to the lowest polymorph of the same formula = 0 meV per atom; space-group type = No. 148
1.0
8.431 0.716 0.858
-0.570 8.442 0.858
-0.570 -0.664 8.459
Dy Er La
12 6 1
Direct
0.456 0.565 0.226
0.991 0.791 0.643
0.565 0.226 0.456
0.357 0.009 0.209
0.226 0.456 0.565
0.791 0.643 0.991
0.774 0.544 0.435
0.209 0.357 0.009
0.544 0.435 0.774
0.435 0.774 0.544
0.009 0.209 0.357
0.643 0.991 0.791
0.906 0.312 0.743
0.743 0.906 0.312
0.688 0.257 0.094
0.257 0.094 0.688
0.094 0.688 0.257
0.312 0.743 0.906
0.000 0.000 0.000

=====

No. 10
AlCuHg2, optimized geometry, DFT PBE; Fermi-level density of states = 0.888 states/eV/cell; calculated formation energy = 14.66 kJ/mol of atoms; crystal system = monoclinic; spin magnetization = 0.0 μB/f.u.; space-group type = No. 6
1.0
4.240 0.000 0.000
0.000 3.878 -0.055
0.000 1.901 4.809
Hg Cu Al
2 1 1
Direct
0.500 0.270 0.329
0.000 0.982 0.923
0.500 0.554 0.767
0.000 0.694 0.482

=====

No. 11
Sr2GaPtPb, optimized geometry, DFT PBE; Fermi-level density of states = 3.353 states/eV/cell; calculated formation energy = -52.57 kJ/mol of atoms; crystal system = tetragonal; spin magnetization = 0.0 μB/f.u.; distance to the lowest polymorph of the same formula = 0 meV per atom; space-group type = No. 123
1.0
5.916 0.000 0.000
0.000 5.916 0.000
0.000 0.000 4.776
Pt Pb Ga Sr
1 1 1 2
Direct
0.000 0.000 0.000
0.500 0.500 0.500
0.000 0.000 0.500
0.000 0.500 0.000
0.500 0.000 0.000

=====

No. 12
Ce8OsRu5, optimized geometry, DFT PBE; Fermi-level density of states = 19.657 states/eV/cell; calculated formation energy = -28.81 kJ/mol of atoms; crystal system = tetragonal; spin magnetization = 0.0 μB/f.u.; space-group type = No. 82
1.0
-5.174 -5.251 -0.986
5.368 -0.848 -5.078
2.933 -0.609 6.808
Ce Ru Os
8 5 1
Direct
0.238 0.252 0.372
0.628 0.866 0.880
0.120 0.748 0.986
0.127 0.746 0.488
0.742 0.254 0.381
0.014 0.134 0.762
0.512 0.639 0.258
0.619 0.361 0.873
0.998 0.376 0.121
0.378 0.123 0.002
0.879 0.877 0.255
0.745 0.624 0.622
0.500 0.000 0.500
0.250 0.500 0.750

=====

No. 13
LiNb2AsPd, optimized geometry, DFT PBE; Fermi-level density of states = 3.741 states/eV/cell; calculated formation energy = 60.50 kJ/mol of atoms; crystal system = tetragonal; spin magnetization = 0.0 μB/f.u.; space-group type = No. 123
1.0
-3.434 -1.513 -2.451
-1.436 -1.972 3.230
-2.401 3.609 1.136
As Nb Pd Li
1 2 1 1
Direct
0.000 0.500 0.000
0.500 0.000 0.000
0.000 0.000 0.500
0.500 0.500 0.500
0.000 0.000 0.000

=====

No. 14
NaMgPd2, optimized geometry, DFT PBE; Fermi-level density of states = 0.920 states/eV/cell; calculated formation energy = -33.37 kJ/mol of atoms; crystal system = tetragonal; spin magnetization = 0.0 μB/f.u.; space-group type = No. 123
1.0
-2.458 -0.233 -1.977
1.607 -4.064 -1.518
-2.428 -2.184 3.276
Pd Na Mg
2 1 1
Direct
0.000 0.500 0.000
0.000 0.000 0.500
0.500 0.000 0.000
0.500 0.500 0.500

=====

No. 15
PrY2Ni6, optimized geometry, DFT PBE; Fermi-level density of states = 9.084 states/eV/cell; calculated formation energy = -12.03 kJ/mol of atoms; crystal system = orthorhombic; spin magnetization = 0.0 μB/f.u.; distance to the lowest polymorph of the same formula = 223 meV per atom; space-group type = No. 71
1.0
-3.363 1.070 -1.047
-4.537 -2.715 5.327
-2.590 3.921 5.852
Ni Y Pr
6 2 1
Direct
0.170 0.147 0.513
0.830 0.853 0.487
0.170 0.513 0.147
0.000 0.171 0.829
0.830 0.487 0.853
0.000 0.829 0.171
0.357 0.143 0.143
0.643 0.857 0.857
0.500 0.500 0.500

=====

No. 16
NdSmTe2, optimized geometry, DFT PBE; Fermi-level density of states = 3.804 states/eV/cell; crystal system = cubic; spin magnetization = 0.2 μB/f.u.; distance to the lowest polymorph of the same formula = 117 meV per atom; space-group type = No. 225; formation energy from raw total energies = -1.30 eV per atom
1.0
5.457 0.000 0.000
2.729 4.726 0.000
2.729 1.575 4.456
Nd Te Sm
1 2 1
Direct
0.000 0.000 0.000
0.750 0.750 0.750
0.250 0.250 0.250
0.500 0.500 0.500

=====

No. 17
Li3DyHo2S6, optimized geometry, DFT PBE; Fermi-level density of states = 0.000 states/eV/cell; crystal system = monoclinic; spin magnetization = 0.0 μB/f.u.; space-group type = No. 12; formation energy from raw total energies = -1.85 eV per atom
1.0
-5.124 4.396 0.296
-0.822 -5.944 -3.108
0.125 -2.006 6.253
S Li Ho Dy
6 3 2 1
Direct
0.582 0.917 0.750
0.418 0.083 0.250
0.083 0.418 0.250
0.251 0.251 0.750
0.917 0.582 0.750
0.749 0.749 0.250
0.500 0.500 0.500
0.167 0.833 0.500
0.833 0.167 0.500
0.667 0.333 0.000
0.333 0.667 0.000
0.000 0.000 0.000